[1]
The following is a PBE calculation of a geometry-optimized Tb4Er3Bi8 structure, from the Alexandria database. Values from VASP.

The structure in Quantum ESPRESSO input format:
```
&SYSTEM
  ibrav = 0, nat = 15, ntyp = 3
/
ATOMIC_SPECIES
Er 167.26 Er.upf
Tb 158.93 Tb.upf
Bi 208.98 Bi.upf
CELL_PARAMETERS angstrom
8.906 -0.127 -0.182
-4.346 7.763 0.141
-4.346 -2.563 7.329
ATOMIC_POSITIONS crystal
Er 0.500 0.500 0.000
Er 0.500 0.000 0.500
Er 0.500 0.500 0.500
Tb 0.000 0.500 0.000
Tb 0.500 0.000 0.000
Tb 0.000 0.000 0.500
Tb 0.000 0.000 0.000
Bi 0.003 0.257 0.257
Bi 0.000 0.744 0.256
Bi 0.997 0.743 0.743
Bi 0.500 0.251 0.749
Bi 0.000 0.256 0.744
Bi 0.512 0.257 0.257
Bi 0.488 0.743 0.743
Bi 0.500 0.749 0.251
```

## Properties
The total magnetization is 0.00 μB/f.u. The space group is No. 12. Its formation energy is -670 meV per atom.

[2]
The following is a PBE calculation of a geometry-optimized Tb2Er2Bi5 structure, from the Alexandria database. Values from VASP.

The structure in Quantum ESPRESSO input format:
```
&SYSTEM
  ibrav = 0, nat = 18, ntyp = 3
/
ATOMIC_SPECIES
Tb 158.93 Tb.upf
Bi 208.98 Bi.upf
Er 167.26 Er.upf
CELL_PARAMETERS angstrom
8.454 0.000 0.000
0.000 7.725 -4.542
0.000 -0.803 8.925
ATOMIC_POSITIONS crystal
Tb 0.000 0.807 0.193
Tb 0.500 0.693 0.307
Tb 0.500 0.307 0.693
Tb 0.000 0.193 0.807
Bi 0.652 0.012 0.293
Bi 0.652 0.293 0.012
Bi 0.500 0.500 0.500
Bi 0.152 0.207 0.488
Bi 0.848 0.793 0.512
Bi 0.000 0.000 0.000
Bi 0.848 0.512 0.793
Bi 0.348 0.707 0.988
Bi 0.348 0.988 0.707
Bi 0.152 0.488 0.207
Er 0.842 0.347 0.347
Er 0.658 0.847 0.847
Er 0.342 0.153 0.153
Er 0.158 0.653 0.653
```

## Properties
The total magnetization is 0.00 μB/f.u. The space group is No. 64. Its formation energy is -620 meV per atom.

[3]
The following is a PBE calculation of a geometry-optimized TbEr3Bi2 structure, from the Alexandria database. Values from VASP.

The structure in Quantum ESPRESSO input format:
```
&SYSTEM
  ibrav = 0, nat = 12, ntyp = 3
/
ATOMIC_SPECIES
Tb 158.93 Tb.upf
Bi 208.98 Bi.upf
Er 167.26 Er.upf
CELL_PARAMETERS angstrom
4.295 0.000 0.000
-2.148 10.501 -0.690
0.000 -5.355 8.367
ATOMIC_POSITIONS crystal
Tb 0.110 0.221 0.110
Tb 0.890 0.779 0.890
Bi 0.509 0.018 0.176
Bi 0.749 0.498 0.213
Bi 0.491 0.982 0.824
Bi 0.251 0.502 0.787
Er 0.056 0.113 0.443
Er 0.944 0.887 0.557
Er 0.312 0.623 0.514
Er 0.639 0.277 0.799
Er 0.361 0.723 0.201
Er 0.688 0.377 0.486
```

## Properties
The total magnetization is 0.00 μB/f.u. The space group is No. 12. Its formation energy is -463 meV per atom.

[4]
The following is a PBE calculation of a geometry-optimized TbEr2Bi structure, from the Alexandria database. Values from VASP.

The structure in Quantum ESPRESSO input format:
```
&SYSTEM
  ibrav = 0, nat = 8, ntyp = 3
/
ATOMIC_SPECIES
Tb 158.93 Tb.upf
Bi 208.98 Bi.upf
Er 167.26 Er.upf
CELL_PARAMETERS angstrom
4.613 0.000 -0.020
0.000 4.573 0.000
-2.259 0.000 11.347
ATOMIC_POSITIONS crystal
Tb 0.693 0.750 0.385
Tb 0.307 0.250 0.615
Bi 0.167 0.250 0.334
Bi 0.833 0.750 0.666
Er 0.559 0.250 0.119
Er 0.441 0.750 0.881
Er 0.942 0.250 0.883
Er 0.058 0.750 0.117
```

## Properties
The total magnetization is 0.00 μB/f.u. The space group is No. 11. Its formation energy is -423 meV per atom.

[5]
The following is a PBE calculation of a geometry-optimized TbErBi2 structure, from the Alexandria database. Values from VASP.

The structure in Quantum ESPRESSO input format:
```
&SYSTEM
  ibrav = 0, nat = 4, ntyp = 3
/
ATOMIC_SPECIES
Bi 208.98 Bi.upf
Tb 158.93 Tb.upf
Er 167.26 Er.upf
CELL_PARAMETERS angstrom
4.467 0.011 0.018
2.219 3.877 0.018
2.209 1.284 7.300
ATOMIC_POSITIONS crystal
Bi 0.749 0.749 0.753
Bi 0.251 0.251 0.247
Tb 0.500 0.500 0.500
Er 0.000 0.000 0.000
```

## Properties
The total magnetization is 0.00 μB/f.u. The space group is No. 12. Its formation energy is -845 meV per atom.

[6]
The following is a PBE calculation of a geometry-optimized Tb5Er2Bi4 structure, from the Alexandria database. Values from VASP.

The structure in Quantum ESPRESSO input format:
```
&SYSTEM
  ibrav = 0, nat = 11, ntyp = 3
/
ATOMIC_SPECIES
Bi 208.98 Bi.upf
Tb 158.93 Tb.upf
Er 167.26 Er.upf
CELL_PARAMETERS angstrom
3.487 0.000 0.000
0.000 7.631 0.553
-1.743 -0.820 13.206
ATOMIC_POSITIONS crystal
Bi 0.036 0.677 0.072
Bi 0.673 0.508 0.346
Bi 0.327 0.492 0.654
Bi 0.964 0.323 0.928
Tb 0.500 0.000 0.000
Tb 0.763 0.795 0.525
Tb 0.858 0.132 0.717
Tb 0.237 0.205 0.475
Tb 0.142 0.868 0.283
Er 0.912 0.695 0.825
Er 0.088 0.305 0.175
```

## Properties
The total magnetization is 0.00 μB/f.u. The space group is No. 12. Its formation energy is -272 meV per atom.

[7]
The following is a PBE calculation of a geometry-optimized Tb5ErBi6 structure, from the Alexandria database. Values from VASP.

The structure in Quantum ESPRESSO input format:
```
&SYSTEM
  ibrav = 0, nat = 12, ntyp = 3
/
ATOMIC_SPECIES
Tb 158.93 Tb.upf
Bi 208.98 Bi.upf
Er 167.26 Er.upf
CELL_PARAMETERS angstrom
-5.456 -4.614 3.034
3.320 -6.428 2.820
2.428 -0.201 7.372
ATOMIC_POSITIONS crystal
Tb 0.500 0.832 0.335
Tb 0.500 0.500 0.000
Tb 0.500 0.168 0.665
Tb 0.000 0.334 0.333
Tb 0.000 0.666 0.667
Bi 0.249 0.248 0.000
Bi 0.751 0.083 0.332
Bi 0.249 0.917 0.668
Bi 0.751 0.414 0.668
Bi 0.751 0.752 0.000
Bi 0.249 0.586 0.332
Er 0.000 0.000 0.000
```

## Properties
The total magnetization is 0.00 μB/f.u. The space group is No. 12. Its formation energy is -868 meV per atom.

[8]
The following is a PBE calculation of a geometry-optimized TbEr2Bi structure, from the Alexandria database. Values from VASP.

The structure in Quantum ESPRESSO input format:
```
&SYSTEM
  ibrav = 0, nat = 4, ntyp = 3
/
ATOMIC_SPECIES
Tb 158.93 Tb.upf
Bi 208.98 Bi.upf
Er 167.26 Er.upf
CELL_PARAMETERS angstrom
4.026 0.000 0.000
0.000 4.026 0.000
0.000 0.000 7.304
ATOMIC_POSITIONS crystal
Tb 0.500 0.500 0.000
Bi 0.500 0.500 0.500
Er 0.000 0.000 0.731
Er 0.000 0.000 0.269
```

## Properties
The total magnetization is 0.00 μB/f.u. The space group is No. 123. Its formation energy is -323 meV per atom.

[9]
The following is a PBE calculation of a geometry-optimized Tb2Er5Bi4 structure, from the Alexandria database. Values from VASP.

The structure in Quantum ESPRESSO input format:
```
&SYSTEM
  ibrav = 0, nat = 11, ntyp = 3
/
ATOMIC_SPECIES
Bi 208.98 Bi.upf
Tb 158.93 Tb.upf
Er 167.26 Er.upf
CELL_PARAMETERS angstrom
3.480 0.000 0.000
0.000 7.963 -1.371
-1.740 -5.561 13.656
ATOMIC_POSITIONS crystal
Bi 0.950 0.208 0.900
Bi 0.402 0.540 0.803
Bi 0.050 0.792 0.100
Bi 0.598 0.460 0.197
Tb 0.267 0.355 0.535
Tb 0.733 0.645 0.465
Er 0.861 0.774 0.722
Er 0.172 0.857 0.344
Er 0.500 0.000 0.000
Er 0.828 0.143 0.656
Er 0.139 0.226 0.278
```

## Properties
The total magnetization is 0.00 μB/f.u. The space group is No. 12. Its formation energy is -202 meV per atom.

[10]
The following is a PBE calculation of a geometry-optimized Tb2ErBi structure, from the Alexandria database. Values from VASP.

The structure in Quantum ESPRESSO input format:
```
&SYSTEM
  ibrav = 0, nat = 4, ntyp = 3
/
ATOMIC_SPECIES
Er 167.26 Er.upf
Bi 208.98 Bi.upf
Tb 158.93 Tb.upf
CELL_PARAMETERS angstrom
-0.751 -2.340 3.201
2.539 -0.004 3.137
-4.341 6.280 6.118
ATOMIC_POSITIONS crystal
Er 0.500 0.500 0.499
Bi 0.666 0.666 0.001
Tb 0.262 0.262 0.213
Tb 0.071 0.071 0.787
```

## Properties
The total magnetization is 0.67 μB/f.u. The space group is No. 160. Its formation energy is -156 meV per atom.

[11]
The following is a PBE calculation of a geometry-optimized Tb5Er2Bi5 structure, from the Alexandria database. Values from VASP.

The structure in Quantum ESPRESSO input format:
```
&SYSTEM
  ibrav = 0, nat = 12, ntyp = 3
/
ATOMIC_SPECIES
Bi 208.98 Bi.upf
Tb 158.93 Tb.upf
Er 167.26 Er.upf
CELL_PARAMETERS angstrom
-3.434 -1.011 2.631
2.461 -6.566 -3.061
6.906 3.193 10.239
ATOMIC_POSITIONS crystal
Bi 0.000 0.000 0.000
Bi 0.118 0.237 0.434
Bi 0.695 0.391 0.782
Bi 0.882 0.763 0.566
Bi 0.305 0.609 0.218
Tb 0.663 0.326 0.031
Tb 0.288 0.576 0.664
Tb 0.712 0.424 0.336
Tb 0.500 0.000 0.500
Tb 0.337 0.674 0.969
Er 0.949 0.898 0.211
Er 0.051 0.102 0.789
```

## Properties
The total magnetization is 0.00 μB/f.u. The space group is No. 12. Its formation energy is -594 meV per atom.

[12]
The following is a PBE calculation of a geometry-optimized Tb2ErThBi5 structure, from the Alexandria database. Values from VASP.

The structure in Quantum ESPRESSO input format:
```
&SYSTEM
  ibrav = 0, nat = 9, ntyp = 4
/
ATOMIC_SPECIES
Bi 208.98 Bi.upf
Er 167.26 Er.upf
Tb 158.93 Tb.upf
Th 232.04 Th.upf
CELL_PARAMETERS angstrom
5.730 0.000 0.000
0.000 5.730 0.000
0.000 0.000 11.874
ATOMIC_POSITIONS crystal
Bi 0.000 0.000 0.759
Bi 0.500 0.000 0.500
Bi 0.000 0.000 0.241
Bi 0.500 0.500 0.000
Bi 0.000 0.500 0.500
Er 0.000 0.000 0.000
Tb 0.500 0.500 0.729
Tb 0.500 0.500 0.271
Th 0.000 0.000 0.500
```

## Properties
The total magnetization is 0.00 μB/f.u. The space group is No. 123. Its formation energy is 207 meV per atom.